Compound: Cd2Cu
Source: Alexandria via LeMat-Bulk
Functional: GGA-PBE
Structure: optimized geometry

Cell: 3.0163 5.1906 7.6821 Å, 85.93 90.00 106.89°
Fractional coordinates of all 6 atoms:
Cu 0.1047 0.2094 0.3131
Cd 0.3151 0.6302 0.7994
Cu 0.7420 0.4841 0.1048
Cd 0.6082 0.2164 0.6063
Cd 0.3724 0.7447 0.3562
Cd 0.0242 0.0485 0.9870

Output
**Raw total energy**: -11.5 eV per cell